Entry 1:
# KPrSb (PBE, optimized geometry)
data_KPrSb
_chemical_formula_sum 'K6 Pr6 Sb6'
_cell_length_a 5.1921
_cell_length_b 5.1921
_cell_length_c 38.5316
_cell_angle_alpha 90.00
_cell_angle_beta 90.00
_cell_angle_gamma 120.00
_symmetry_space_group_name_H-M 'R -3 m'
_symmetry_Int_Tables_number 166
_symmetry_space_group_name_Hall '-R 3 2"'
loop_
_atom_site_label
_atom_site_type_symbol
_atom_site_fract_x
_atom_site_fract_y
_atom_site_fract_z
K1 K 0.0000 0.0000 0.1121
Pr1 Pr 0.0000 0.0000 0.3018
Sb1 Sb 0.0000 0.0000 0.3893
# mass density	3.3	g/cm3
# formation energy (no corrections)	-1.68	eV per formula unit
# Fermi-level density of states	0.878	states/eV/atom

---

Entry 2:
# ReTeRh (PBE, optimized geometry)
data_ReTeRh
_chemical_formula_sum 'Re4 Te4 Rh4'
_cell_length_a 6.1670
_cell_length_b 6.1670
_cell_length_c 6.1670
_cell_angle_alpha 90.00
_cell_angle_beta 90.00
_cell_angle_gamma 90.00
_symmetry_space_group_name_H-M 'F -4 3 m'
_symmetry_Int_Tables_number 216
_symmetry_space_group_name_Hall 'F -4 2 3'
loop_
_atom_site_label
_atom_site_type_symbol
_atom_site_fract_x
_atom_site_fract_y
_atom_site_fract_z
Re1 Re 0.0000 0.0000 0.0000
Te1 Te 0.2500 0.2500 0.7500
Rh1 Rh 0.2500 0.2500 0.2500
# mass density	11.8	g/cm3
# formation energy (no corrections)	1.11	eV per formula unit
# Fermi-level density of states	1.367	states/eV/atom

---

Entry 3:
# AgSeNO2 (PBE, optimized geometry)
data_AgSeNO2
_chemical_formula_sum 'Ag1 Se1 N1 O2'
_cell_length_a 3.8759
_cell_length_b 3.8759
_cell_length_c 4.0511
_cell_angle_alpha 90.00
_cell_angle_beta 90.00
_cell_angle_gamma 90.00
_symmetry_space_group_name_H-M 'P 4/m m m'
_symmetry_Int_Tables_number 123
_symmetry_space_group_name_Hall '-P 4 2'
loop_
_atom_site_label
_atom_site_type_symbol
_atom_site_fract_x
_atom_site_fract_y
_atom_site_fract_z
Ag1 Ag 0.0000 0.0000 0.0000
Se1 Se 0.5000 0.5000 0.5000
N1 N 0.5000 0.5000 0.0000
O1 O 0.0000 0.5000 0.5000
# mass density	6.4	g/cm3
# formation energy (no corrections)	3.41	eV per formula unit
# Fermi-level density of states	0.397	states/eV/atom